Computed, not measured: crystalline YTl2Sn2 at its relaxed geometry at the GGA-PBE level of DFT.

Output
DOS(E_F) (states/eV/atom): 0.612
ρ (g/cm³): 7.937
ΔE_f (eV per atom): -0.093
Excess energy over the best structure of this formula in the dataset (meV per atom): 0
Volume (Å³ per cell): 154

abc: 8.7236 8.7236 8.7236
angles: 151.19 151.19 41.19
With the nearest neighbours (Å) after each atom.
Fractional positions:
Y1 0.0000 0.0000 0.0000  8 Sn 3.39
Tl1 0.2500 0.7500 0.5000  4 Tl 3.07, 4 Sn 3.42
Tl2 0.7500 0.2500 0.5000  4 Tl 3.07, 4 Sn 3.42
Sn1 0.4120 0.4120 0.0000  1 Sn 2.87
Sn2 0.5880 0.5880 0.0000  1 Sn 2.87

Computed, not measured: crystalline YTl2Sn at its relaxed geometry at the GGA-PBE level of DFT.

Output
DOS(E_F) (states/eV/atom): 0.702
ρ (g/cm³): 8.762
ΔE_f (eV per atom): -0.123
Excess energy over the best structure of this formula in the dataset (meV per atom): 188
Volume (Å³ per cell): 234

abc: 6.8475 6.8475 6.8475
angles: 102.39 102.39 124.81
With the nearest neighbours (Å) after each atom.
Fractional positions:
Y1 0.0000 0.0000 0.0000  2 Sn 3.17, 4 Tl 3.23
Y2 0.7500 0.2500 0.5000  2 Sn 3.17, 4 Tl 3.23
Tl1 0.1410 0.1250 0.5160  2 Sn 3.04, 2 Tl 3.18, 2 Y 3.23
Tl2 0.3750 0.8590 0.9840  2 Sn 3.04, 2 Tl 3.18, 2 Y 3.23
Tl3 0.6090 0.6250 0.4840  2 Sn 3.04, 2 Tl 3.18, 2 Y 3.23
Tl4 0.8750 0.3910 0.0160  2 Sn 3.04, 2 Tl 3.18, 2 Y 3.23
Sn1 0.2500 0.7500 0.5000  4 Tl 3.04, 2 Y 3.17
Sn2 0.5000 0.5000 0.0000  4 Tl 3.04, 2 Y 3.17